1.
Crystalline Cs3RbTl3 at its relaxed geometry. Source: Alexandria, functional PBE.

Values from the calculation:
**ρ**: 4308 kg/m³
**Calculated volume**: 422.9 Å³/f.u.
**Energy of formation**: -0.2 eV per formula unit
**E_tot**: -1.55 eV/atom

```
Cs3RbTl3
1.0
4.724 2.728 10.941
-4.724 2.728 10.941
0.000 -5.455 10.941
Cs Rb Tl
6 2 6
Direct
0.102 0.102 0.597 Cs
0.102 0.597 0.102 Cs
0.403 0.898 0.898 Cs
0.597 0.102 0.102 Cs
0.898 0.403 0.898 Cs
0.898 0.898 0.403 Cs
0.438 0.438 0.438 Rb
0.562 0.562 0.562 Rb
0.067 0.717 0.717 Tl
0.283 0.283 0.933 Tl
0.283 0.933 0.283 Tl
0.717 0.067 0.717 Tl
0.717 0.717 0.067 Tl
0.933 0.283 0.283 Tl
```

***

2.
Crystalline LiYBr2 at its relaxed geometry. Source: Alexandria, functional PBE.

Values from the calculation:
**ρ**: 4621 kg/m³
**Formation energy (no corrections)**: -0.999 eV/atom
**Calculated volume**: 91.9 Å³/f.u.
**Relative energy among the computed polymorphs**: 219.3 meV per atom
**E_tot**: -3.93 eV/atom

```
LiYBr2
1.0
-1.850 2.917 4.255
1.850 -2.917 4.255
1.850 2.917 -4.255
Li Y Br
1 1 2
Direct
0.000 0.000 0.000 Li
0.500 0.500 0.000 Y
0.208 0.708 0.500 Br
0.792 0.292 0.500 Br
```

***

3.
Crystalline BeCdH6Pb at its relaxed geometry. Source: Alexandria, functional PBE.

Values from the calculation:
**ρ**: 5545 kg/m³
**Calculated volume**: 100.2 Å³/f.u.
**E_tot**: -2.85 eV/atom

```
BeCdH6Pb
1.0
4.772 0.000 0.000
-2.386 4.133 0.000
0.000 0.000 5.081
Be Cd H Pb
1 1 6 1
Direct
0.000 0.000 0.000 Be
0.333 0.667 0.000 Cd
0.005 0.277 0.797 H
0.005 0.728 0.203 H
0.272 0.277 0.203 H
0.272 0.995 0.797 H
0.723 0.728 0.797 H
0.723 0.995 0.203 H
0.667 0.333 0.500 Pb
```

***

4.
Crystalline CePr2DyEr5 at its relaxed geometry. Source: Alexandria, functional PBE.

Values from the calculation:
**ρ**: 8221 kg/m³
**Calculated volume**: 287.0 Å³/f.u.
**Energy of formation**: 2.5 eV per formula unit
**E_tot**: -4.49 eV/atom

```
CePr2DyEr5
1.0
-4.284 4.284 7.818
4.284 -4.284 7.818
4.284 4.284 -7.818
Ce Pr Dy Er
2 4 2 10
Direct
0.250 0.750 0.500 Ce
0.750 0.250 0.500 Ce
0.120 0.620 0.741 Pr
0.380 0.120 0.500 Pr
0.620 0.880 0.500 Pr
0.880 0.380 0.259 Pr
0.250 0.250 0.000 Dy
0.750 0.750 0.000 Dy
0.000 0.000 0.000 Er
0.065 0.152 0.500 Er
0.152 0.652 0.087 Er
0.348 0.435 0.500 Er
0.435 0.935 0.087 Er
0.500 0.500 0.000 Er
0.565 0.065 0.913 Er
0.652 0.565 0.500 Er
0.848 0.348 0.913 Er
0.935 0.848 0.500 Er
```

***

5.
Crystalline RbMgSeN2 at its relaxed geometry. Source: Alexandria, functional PBE.

Values from the calculation:
**ρ**: 2170 kg/m³
**Formation energy (no corrections)**: 1.903 eV/atom
**Calculated volume**: 165.8 Å³/f.u.
**Relative energy among the computed polymorphs**: 1056.1 meV per atom
**E_tot**: -2.64 eV/atom

```
RbMgSeN2
1.0
4.956 0.000 0.000
0.000 4.956 0.000
0.000 0.000 6.751
Rb Mg Se N
1 1 1 2
Direct
0.000 0.000 0.000 Rb
0.500 0.500 0.500 Mg
0.000 0.000 0.500 Se
0.000 0.500 0.000 N
0.500 0.000 0.000 N
```

***

6.
Crystalline CrIrRu at its relaxed geometry. Source: Alexandria, functional PBE.

Values from the calculation:
**ρ**: 11536 kg/m³
**Calculated volume**: 49.7 Å³/f.u.
**Relative energy among the computed polymorphs**: 658.6 meV per atom
**Energy of formation**: 1.9 eV per formula unit
**E_tot**: -8.62 eV/atom

```
CrIrRu
1.0
0.000 2.918 2.918
2.918 0.000 2.918
2.918 2.918 0.000
Cr Ir Ru
1 1 1
Direct
0.000 0.000 0.000 Cr
0.500 0.500 0.500 Ir
0.750 0.750 0.750 Ru
```